Density functional theory data (PBE) for crystalline PmPrPbSe at its relaxed geometry.

## Properties
Its density of states at the Fermi level is 0.9 states/eV/f.u. As for the uncorrected formation energy: -1.20 eV per atom.

Cell lengths 4.4176, 4.4176, 6.2766 Å; angles 90.00, 90.00, 90.00 degrees
Fractional coordinates of all 4 atoms:
Pm  0.0000  0.0000  0.0000
Pr  0.5000  0.5000  0.5000
Pb  0.5000  0.5000  0.0000
Se  0.0000  0.0000  0.5000

Density functional theory data (PBE) for crystalline CoPbS2Cl at its relaxed geometry.

## Properties
Its excess energy over the best structure of this formula in the dataset is 0.00 eV per formula unit. Its density of states at the Fermi level is 7.7 states/eV/f.u. As for the uncorrected formation energy: -0.15 eV per atom.

Cell lengths 4.4956, 4.4956, 4.6387 Å; angles 90.00, 90.00, 90.00 degrees
Fractional coordinates of all 5 atoms:
Co  0.0000  0.0000  0.0000
Pb  0.5000  0.5000  0.5000
S  0.0000  0.5000  0.0000
S  0.5000  0.0000  0.0000
Cl  0.0000  0.0000  0.5000

Density functional theory data (PBE) for crystalline YTc2W at its relaxed geometry.

## Properties
Its density of states at the Fermi level is 4.4 states/eV/f.u. For the energy relative to the elements, the calculation gives 497 meV/atom.

Cell lengths 5.5161, 5.5161, 5.5161 Å; angles 139.18, 139.18, 59.10 degrees
Fractional coordinates of all 4 atoms:
Y  0.0000  0.0000  0.0000
Tc  0.2500  0.7500  0.5000
Tc  0.5000  0.5000  0.0000
W  0.7500  0.2500  0.5000

Density functional theory data (PBE) for crystalline KCrAsI6 at its relaxed geometry.

## Properties
Its density of states at the Fermi level is 6.2 states/eV/f.u. As for the uncorrected formation energy: -0.47 eV per atom.

Cell lengths 7.4950, 7.4950, 7.8257 Å; angles 90.00, 90.00, 120.00 degrees
Fractional coordinates of all 9 atoms:
K  0.0000  0.0000  0.0000
Cr  0.3333  0.6667  0.5000
As  0.6667  0.3333  0.5000
I  0.0044  0.3757  0.7107
I  0.0044  0.6287  0.2893
I  0.3713  0.3757  0.2893
I  0.3713  0.9956  0.7107
I  0.6243  0.6287  0.7107
I  0.6243  0.9956  0.2893

Density functional theory data (PBE) for crystalline KMn2BiCl8 at its relaxed geometry.

## Properties
Its density of states at the Fermi level is 0.0 states/eV/f.u. As for the uncorrected formation energy: -1.17 eV per atom.

Cell lengths 6.4967, 6.5073, 8.9464 Å; angles 80.01, 79.35, 79.48 degrees
Fractional coordinates of all 12 atoms:
K  0.0000  0.0000  0.0000
Mn  0.4493  0.4567  0.2135
Mn  0.5507  0.5433  0.7865
Bi  0.0000  0.0000  0.5000
Cl  0.2135  0.7602  0.7259
Cl  0.2612  0.2948  0.4571
Cl  0.2667  0.8104  0.2670
Cl  0.3176  0.3460  0.0120
Cl  0.6824  0.6540  0.9880
Cl  0.7333  0.1896  0.7330
Cl  0.7388  0.7052  0.5429
Cl  0.7865  0.2398  0.2741

Density functional theory data (PBE) for crystalline RbTlSeBr2 at its relaxed geometry.

## Properties
Its excess energy over the best structure of this formula in the dataset is 2.41 eV per formula unit. Its density of states at the Fermi level is 6.5 states/eV/f.u. As for the uncorrected formation energy: -0.24 eV per atom.

Cell lengths 6.4347, 6.4347, 6.2254 Å; angles 90.00, 90.00, 90.00 degrees
Fractional coordinates of all 5 atoms:
Rb  0.0000  0.0000  0.0000
Tl  0.5000  0.5000  0.5000
Se  0.0000  0.0000  0.5000
Br  0.0000  0.5000  0.0000
Br  0.5000  0.0000  0.0000

Q: Which formula does entry 4 have?
A: KCrAsI6